(1)
# YCr4Re

A relaxed YCr4Re crystal (PBE, the Alexandria database).

Lattice parameters (Å, degrees): 4.973 4.973 4.973 60.00 60.00 60.00
Fractional coordinates of all 6 atoms:
Cr 0.129 0.624 0.624
Cr 0.624 0.624 0.129
Cr 0.624 0.129 0.624
Cr 0.624 0.624 0.624
Re 0.250 0.250 0.250
Y 0.000 0.000 0.000



(2)
# YCrRe2

A relaxed YCrRe2 crystal (PBE, the Alexandria database).

Output
- Excess energy over the best structure of this formula in the dataset: 72 meV per atom

Lattice parameters (Å, degrees): 4.517 4.517 4.517 60.00 60.00 60.00
Fractional coordinates of all 4 atoms:
Re 0.250 0.250 0.250
Re 0.000 0.000 0.000
Y 0.750 0.750 0.750
Cr 0.500 0.500 0.500



| no. | spin magnetization (μB/f.u.) | energy of formation (eV/atom) |
| --- | --- | --- |
| 1 | 0.00 | 0.252 |
| 2 | 0.02 | 0.332 |